Entry 1:
La2PuAs3, optimized geometry, DFT PBE; magnetization = 0.821 μB/atom; distance to the lowest polymorph of the same formula = 0.0088 eV/atom; energy of formation from the pure elements = -8.1 eV per formula unit
1.0
-2.154 2.154 9.122
2.154 -2.154 9.122
2.154 2.154 -9.122
La Pu As
2 1 3
direct
0.167 0.167 0.000
0.833 0.833 0.000
0.500 0.500 0.000
0.000 0.000 0.000
0.337 0.337 0.000
0.663 0.663 0.000

=====

Entry 2:
Ba2SbO4, optimized geometry, DFT PBE; E_form (uncorrected) = -2.165 eV/atom; magnetization = 0.000 μB/atom; distance to the lowest polymorph of the same formula = 0.0000 eV/atom
1.0
-2.143 2.143 6.793
2.143 -2.143 6.793
2.143 2.143 -6.793
Ba Sb O
2 1 4
direct
0.146 0.146 0.000
0.854 0.854 0.000
0.500 0.500 0.000
0.000 0.500 0.500
0.340 0.340 0.000
0.500 0.000 0.500
0.660 0.660 0.000

=====

Entry 3:
CaIn2Hg2, optimized geometry, DFT PBE; magnetization = 0.000 μB/atom; energy of formation from the pure elements = -1.3 eV per formula unit
1.0
4.452 -2.522 0.000
4.452 2.522 0.000
-1.340 0.000 6.139
Ca In Hg
1 2 2
direct
0.000 0.000 0.000
0.375 0.375 0.292
0.625 0.625 0.708
0.293 0.293 0.749
0.707 0.707 0.251

=====

Entry 4:
Sc2B3C, optimized geometry, DFT PBE; magnetization = 0.000 μB/atom; energy of formation from the pure elements = -4.5 eV per formula unit
1.0
3.036 0.000 0.000
0.000 3.555 0.000
0.000 0.000 5.273
Sc B C
2 3 1
direct
0.000 0.000 0.000
0.500 0.000 0.495
0.000 0.500 0.326
0.000 0.500 0.668
0.500 0.500 0.838
0.500 0.500 0.160

=====

Entry 5:
PaNbAs2, optimized geometry, DFT PBE; magnetization = 0.162 μB/atom; distance to the lowest polymorph of the same formula = 0.0000 eV/atom; energy of formation from the pure elements = -2.7 eV per formula unit
1.0
1.809 1.045 7.352
-1.809 1.045 7.352
0.000 -2.089 7.352
Pa Nb As
1 1 2
direct
0.000 0.000 0.000
0.831 0.831 0.831
0.425 0.425 0.425
0.572 0.572 0.572

=====

Entry 6:
CaPdPt3, optimized geometry, DFT PBE; magnetization = 0.000 μB/atom; distance to the lowest polymorph of the same formula = 0.0000 eV/atom; energy of formation from the pure elements = 2.3 eV per formula unit
1.0
4.896 0.000 0.000
0.000 4.896 0.000
0.000 0.000 4.896
Ca Pd Pt
1 1 3
direct
0.000 0.000 0.000
0.500 0.500 0.500
0.000 0.500 0.500
0.500 0.000 0.500
0.500 0.500 0.000

=====

Entry 7:
Li2YTm2In2, optimized geometry, DFT PBE; magnetization = 0.000 μB/atom; energy of formation from the pure elements = -1.6 eV per formula unit
1.0
2.413 1.393 8.756
-2.413 1.393 8.756
0.000 -2.787 8.756
Li Y Tm In
2 1 2 2
direct
0.100 0.100 0.100
0.900 0.900 0.900
0.500 0.500 0.500
0.372 0.372 0.372
0.628 0.628 0.628
0.239 0.239 0.239
0.761 0.761 0.761

=====

Entry 8:
PmNpPaSn, optimized geometry, DFT PBE; magnetization = 1.534 μB/atom; energy of formation from the pure elements = 0.6 eV per formula unit
1.0
0.000 3.743 3.743
3.743 0.000 3.743
3.743 3.743 0.000
Pm Np Pa Sn
1 1 1 1
direct
0.000 0.000 0.000
0.750 0.750 0.750
0.500 0.500 0.500
0.250 0.250 0.250

=====

Entry 9:
Ac3ZnGa2Cu6, optimized geometry, DFT PBE; magnetization = 0.000 μB/atom; energy of formation from the pure elements = -1.7 eV per formula unit
1.0
6.176 0.000 0.000
-3.088 5.348 0.000
0.000 0.000 8.086
Ac Zn Ga Cu
3 1 2 6
direct
0.000 0.000 0.000
0.333 0.667 0.734
0.667 0.333 0.266
0.000 0.000 0.500
0.333 0.667 0.126
0.667 0.333 0.874
0.200 0.399 0.380
0.200 0.800 0.380
0.399 0.200 0.620
0.601 0.800 0.380
0.800 0.200 0.620
0.800 0.601 0.620

=====

Entry 10:
NbSi3Te, optimized geometry, DFT PBE; E_form (uncorrected) = 1.810 eV/atom; magnetization = 0.000 μB/atom; distance to the lowest polymorph of the same formula = 1.0444 eV/atom
1.0
4.974 0.000 0.000
0.000 4.974 0.000
0.000 0.000 4.974
Nb Si Te
1 3 1
direct
0.000 0.000 0.000
0.000 0.500 0.500
0.500 0.000 0.500
0.500 0.500 0.000
0.500 0.500 0.500